# 1
CeHfIrRu: relaxed, PBE-GGA.

Cell lengths 4.7625, 4.7625, 4.7625 Å; angles 60.00, 60.00, 60.00 degrees
Sites, in units of the cell vectors:
Ce 0.0000 0.0000 0.0000
Hf 0.5000 0.5000 0.5000
Ir 0.7500 0.7500 0.7500
Ru 0.2500 0.2500 0.2500

The density of states at the Fermi level comes out at 1.4543 states/eV/atom. The space-group type is F-43m (216). The formation energy comes out at -0.53 eV per atom.

***

# 2
HfMnIr2: relaxed, PBE-GGA.

Cell lengths 9.1660, 9.1660, 9.1660 Å; angles 154.82, 154.82, 35.91 degrees
Sites, in units of the cell vectors:
Hf 0.0000 0.0000 0.0000
Hf 0.7500 0.2500 0.5000
Mn 0.2500 0.7500 0.5000
Mn 0.5000 0.5000 0.0000
Ir 0.1638 0.6250 0.0388
Ir 0.3750 0.4138 0.5388
Ir 0.5862 0.1250 0.9612
Ir 0.8750 0.8362 0.4612

The density of states at the Fermi level comes out at 1.0605 states/eV/atom. The space-group type is I-42d (122). The formation energy comes out at 0.08 eV per atom.

***

# 3
Ta2CoHg: relaxed, PBE-GGA.

Cell lengths 2.8837, 2.8837, 8.0320 Å; angles 90.00, 90.00, 90.11 degrees
Sites, in units of the cell vectors:
Ta 0.0000 0.0000 0.2103
Ta 0.0000 0.0000 0.7897
Co 0.5000 0.5000 0.0000
Hg 0.5000 0.5000 0.5000

The density of states at the Fermi level comes out at 0.9835 states/eV/atom. The space-group type is Cmmm (65). The formation energy comes out at 0.12 eV per atom.